# 1
DFT (GGA-PBE) results for crystalline CaInW3 at its relaxed geometry.

Structure (POSCAR):
```
CaInW3
1.0
-3.006 -2.556 -2.546
1.078 -3.799 2.542
-3.443 1.043 3.019
Ca W In
1 3 1
Direct
0.000 0.000 0.000 Ca
0.000 0.500 0.000 W
0.000 0.000 0.500 W
0.500 0.000 0.000 W
0.500 0.500 0.500 In
```

## Properties
The value obtained for the density of states at the Fermi level is 5.4 states/eV per cell. The energy above the most stable polymorph in this dataset is 486 meV per atom. The magnetization comes out at 0.00 Bohr magnetons per cell. The calculated volume comes out at 20.7 A^3/atom.

***

# 2
DFT (GGA-PBE) results for crystalline ScTcMo2 at its relaxed geometry.

Structure (POSCAR):
```
ScTcMo2
1.0
0.000 3.184 3.184
3.184 0.000 3.184
3.184 3.184 0.000
Sc Mo Tc
1 2 1
Direct
0.000 0.000 0.000 Sc
0.250 0.250 0.250 Mo
0.750 0.750 0.750 Mo
0.500 0.500 0.500 Tc
```

## Properties
The value obtained for the density of states at the Fermi level is 3.7 states/eV per cell. The energy above the most stable polymorph in this dataset is 164 meV per atom. The magnetization comes out at 0.00 Bohr magnetons per cell. The calculated volume comes out at 16.1 A^3/atom.

***

# 3
DFT (GGA-PBE) results for crystalline Li2ZrCu at its relaxed geometry.

Structure (POSCAR):
```
Li2ZrCu
1.0
2.786 0.068 0.000
-0.713 2.694 0.000
0.000 0.000 9.038
Cu Li Zr
1 2 1
Direct
0.500 0.500 0.750 Cu
0.000 0.000 0.958 Li
0.000 0.000 0.542 Li
0.500 0.500 0.250 Zr
```

## Properties
The value obtained for the density of states at the Fermi level is 1.6 states/eV per cell. The energy above the most stable polymorph in this dataset is 86 meV per atom. The magnetization comes out at 0.00 Bohr magnetons per cell. The calculated volume comes out at 17.1 A^3/atom.

***

# 4
DFT (GGA-PBE) results for crystalline Pr4TlAg3 at its relaxed geometry.

Structure (POSCAR):
```
Pr4TlAg3
1.0
-5.288 0.507 1.006
-2.014 -1.607 4.753
-1.030 7.694 5.240
Pr Tl Ag
4 1 3
Direct
0.872 0.872 0.384 Pr
0.379 0.379 0.864 Pr
0.128 0.128 0.616 Pr
0.621 0.621 0.136 Pr
0.000 0.000 0.000 Tl
0.253 0.253 0.241 Ag
0.747 0.747 0.759 Ag
0.500 0.500 0.500 Ag
```

## Properties
The value obtained for the density of states at the Fermi level is 8.5 states/eV per cell. The energy above the most stable polymorph in this dataset is 0 meV per atom. The magnetization comes out at 0.81 Bohr magnetons per cell. The calculated volume comes out at 27.9 A^3/atom.